A relaxed Os2Se crystal, computed with PBE-GGA.

a b c (Å): 5.2336 5.2336 5.2336
angles (deg): 60.00 60.00 60.00
With the nearest neighbours (Å) after each atom.
Fractional coordinates of all 6 atoms:
1 Os 0.1250 0.6250 0.6250  6 Os 2.62
2 Os 0.6250 0.1250 0.6250  6 Os 2.62
3 Se 0.2500 0.2500 0.2500  12 Os 3.07, 4 Se 3.20
4 Os 0.6250 0.6250 0.1250  6 Os 2.62
5 Se 0.0000 0.0000 0.0000  12 Os 3.07, 4 Se 3.20
6 Os 0.6250 0.6250 0.6250  6 Os 2.62

Computed properties:
The energy above the most stable polymorph in this dataset is 0.0 meV per atom. The total energy comes out at -7.254 eV/atom.